DFT (PBE-GGA) results for CaScP4 after structural relaxation.

Computed properties:
DOS at the Fermi energy: 1.192 states/eV per atom
Calculated total energy: -5.11 eV per atom

Cell: 7.509 7.509 7.509 Å, 90.00 90.00 90.00°
Space group F-43m (No. 216)
Inequivalent atoms, fractional coordinates:
Ca (0.000, 0.000, 0.000) (multiplicity 4)
Sc (0.250, 0.250, 0.250) (multiplicity 4)
P (0.122, 0.122, 0.622) (multiplicity 16)

=====

DFT (PBE-GGA) results for CaScP2 after structural relaxation.

Computed properties:
DOS at the Fermi energy: 0.698 states/eV per atom
Distance to the lowest polymorph of the same formula: 0.0000 eV/atom
Calculated total energy: -5.91 eV per atom

Cell: 6.726 3.899 6.951 Å, 90.00 108.96 90.00°
Space group C2/m (No. 12)
Inequivalent atoms, fractional coordinates:
Ca (0.000, 0.000, 0.000) (multiplicity 2)
Sc (0.000, 0.500, 0.500) (multiplicity 2)
P (0.240, 0.000, 0.720) (multiplicity 4)

=====

DFT (PBE-GGA) results for CaScP3 after structural relaxation.

Computed properties:
DOS at the Fermi energy: 0.679 states/eV per atom
Distance to the lowest polymorph of the same formula: 0.0000 eV/atom
Calculated total energy: -5.21 eV per atom

Cell: 4.921 4.921 4.921 Å, 90.00 90.00 90.00°
Space group Pm-3m (No. 221)
Inequivalent atoms, fractional coordinates:
Ca (0.000, 0.000, 0.000) (multiplicity 1)
Sc (0.500, 0.500, 0.500) (multiplicity 1)
P (0.000, 0.500, 0.500) (multiplicity 3)

=====

DFT (PBE-GGA) results for CaScP2 after structural relaxation.

Computed properties:
DOS at the Fermi energy: 0.328 states/eV per atom
Distance to the lowest polymorph of the same formula: 0.2086 eV/atom
Calculated total energy: -5.70 eV per atom

Cell: 3.134 3.560 7.189 Å, 90.00 100.32 90.00°
Space group P2/m (No. 10)
Inequivalent atoms, fractional coordinates:
Ca (0.000, 0.000, 0.000) (multiplicity 1)
Sc (0.000, 0.000, 0.500) (multiplicity 1)
P (0.452, 0.500, 0.730) (multiplicity 2)

=====

DFT (PBE-GGA) results for CaScP2 after structural relaxation.

Computed properties:
DOS at the Fermi energy: 0.934 states/eV per atom
Distance to the lowest polymorph of the same formula: 0.4803 eV/atom
Calculated total energy: -5.43 eV per atom

Cell: 5.772 5.772 14.003 Å, 90.00 90.00 90.00°
Space group I-42d (No. 122)
Inequivalent atoms, fractional coordinates:
Ca (0.000, 0.000, 0.000) (multiplicity 4)
Sc (0.000, 0.000, 0.500) (multiplicity 4)
P (0.197, 0.250, 0.625) (multiplicity 8)

=====

DFT (PBE-GGA) results for CaScP2 after structural relaxation.

Computed properties:
DOS at the Fermi energy: 0.647 states/eV per atom
Distance to the lowest polymorph of the same formula: 0.3272 eV/atom
Calculated total energy: -5.58 eV per atom

Cell: 6.785 6.785 6.785 Å, 90.00 90.00 90.00°
Space group Fm-3m (No. 225)
Inequivalent atoms, fractional coordinates:
Ca (0.000, 0.000, 0.000) (multiplicity 4)
Sc (0.000, 0.000, 0.500) (multiplicity 4)
P (0.250, 0.250, 0.250) (multiplicity 8)

=====

DFT (PBE-GGA) results for Ca2ScTlP after structural relaxation.

Computed properties:
DOS at the Fermi energy: 0.696 states/eV per atom
Calculated total energy: -4.22 eV per atom

Cell: 5.460 5.460 4.951 Å, 90.00 90.00 90.00°
Space group P4/mmm (No. 123)
Inequivalent atoms, fractional coordinates:
Ca (0.000, 0.500, 0.000) (multiplicity 2)
Sc (0.000, 0.000, 0.500) (multiplicity 1)
Tl (0.500, 0.500, 0.500) (multiplicity 1)
P (0.000, 0.000, 0.000) (multiplicity 1)

=====

DFT (PBE-GGA) results for CaSc2TlP after structural relaxation.

Computed properties:
DOS at the Fermi energy: 0.837 states/eV per atom
Calculated total energy: -5.10 eV per atom

Cell: 4.969 4.969 5.305 Å, 90.00 90.00 90.00°
Space group P4/mmm (No. 123)
Inequivalent atoms, fractional coordinates:
Ca (0.000, 0.000, 0.000) (multiplicity 1)
Sc (0.000, 0.500, 0.500) (multiplicity 2)
Tl (0.500, 0.500, 0.000) (multiplicity 1)
P (0.000, 0.000, 0.500) (multiplicity 1)